The following is a DFT calculation (GGA-PBE) of a geometry-optimized TaCo2SeCl structure.

Structure (POSCAR):
```
TaCo2SeCl
1.0
4.7462 0.0000 0.0000
0.0000 4.7462 0.0000
0.0000 0.0000 4.5711
Ta Co Se Cl
1 2 1 1
Cartesian
0.0000 0.0000 0.0000
0.0000 2.3731 0.0000
2.3731 0.0000 0.0000
2.3731 2.3731 2.2856
0.0000 0.0000 2.2856
```

## Properties
M_tot: 0.38 μB/atom
density: 6.7 g/cm3
space-group type: P4/mmm, No. 123
DFT total energy: -5.26 eV per atom